Material: NpTl2Ge2Te4
Method: DFT, GGA-PBE
State: relaxed

Cell lengths 8.7548, 8.7548, 8.9951 Å; angles 115.80, 115.80, 28.37 degrees
Closest atoms and distances in Å follow each position.
Positions (direct):
Np: 0.0000 0.0000 0.0000  6 Te 3.13-3.14
Tl: 0.1140 0.1140 0.5492  7 Te 3.45-3.66, 1 Ge 3.47, 1 Tl 3.56
Tl: 0.8860 0.8860 0.4508  7 Te 3.45-3.66, 1 Ge 3.47, 1 Tl 3.56
Ge: 0.2953 0.2953 0.9380  3 Te 2.80-2.85, 2 Ge 3.12
Ge: 0.7047 0.7047 0.0620  3 Te 2.80-2.85, 2 Ge 3.12
Te: 0.1983 0.1983 0.2647  2 Ge 2.85, 1 Np 3.13
Te: 0.4613 0.4613 0.2138  1 Ge 2.80
Te: 0.5387 0.5387 0.7862  1 Ge 2.80
Te: 0.8017 0.8017 0.7353  2 Ge 2.85, 1 Np 3.13

## Properties
* symmetry: C2/m, No. 12
* V: 32.53 A^3/atom
* raw total energy: -41.7 eV per formula unit